This record from Alexandria via LeMat-Bulk describes a relaxed HfTlV2O8 crystal. The functional is GGA+U.

a b c (Å): 5.7670 5.7670 7.7736
angles (deg): 90.00 90.00 120.00
Closest atoms and distances in Å follow each position.
Element x y z (fractional)
O 0.1677 0.8348 0.6579  1 V 1.76
O 0.6667 0.3333 0.0532  1 V 1.67
O 0.8348 0.6671 0.3421  1 V 1.76
O 0.6671 0.8323 0.6579  1 V 1.76
O 0.3333 0.6667 0.9468  1 V 1.67
O 0.3329 0.1677 0.3421  1 V 1.76
O 0.1652 0.3329 0.6579  1 V 1.76
O 0.8323 0.1652 0.3421  1 V 1.76
Tl 0.0000 0.0000 0.0000  12 O 3.14-3.36
Hf 0.0000 0.0000 0.5000  6 O 2.07
V 0.3333 0.6667 0.7316  4 O 1.67-1.76
V 0.6667 0.3333 0.2684  4 O 1.67-1.76

Computed properties:
Electronic total energy in Ha/atom: -0.2792
DOS at the Fermi energy in states/eV/cell: 8.37
Symmetry: No. 147